First-principles (PBEsol) data for a geometry-optimized CoIr2Rh structure, as listed in the Alexandria database.

abc: 2.6677 2.6677 8.6599
angles: 81.14 81.14 60.02
Each line ends with the local moment (μB).
Positions (direct):
Co 0.2497 0.2497 0.2504  0.17
Rh 0.5037 0.5037 0.4892  1.58
Ir 0.7502 0.7502 0.7493  -0.08
Ir 0.9962 0.9962 0.0110  0.07

Values from the calculation:
Density of states at the Fermi level ... 4.30 states/eV/cell
Energy above the lowest structure with this stoichiometry ... 3.4 kJ per mole of atoms
Formation energy from the elements ... 38 meV per atom
SG ... No. 160
DFT total energy ... -8.843 eV per atom